The following is a DFT calculation (PBE) of a relaxed structure of Hf2Mn9Mo.

Geometry as extended XYZ:
```
12
Lattice="4.7835 0.0000 0.0000 2.3917 4.1426 0.0000 2.3917 1.3809 7.9027" Properties=species:S:1:pos:R:3 pbc="T T T"
Hf 7.1752 4.1426 3.3389
Hf 2.3917 1.3809 4.5639
Mo 0.0000 0.0000 0.0000
Mn 3.5476 3.4753 5.9669
Mn 3.5476 2.0482 1.9358
Mn 4.7835 4.1889 1.9358
Mn 4.7835 1.3346 5.9669
Mn 4.7835 2.7617 7.8185
Mn 6.0194 2.0482 1.9358
Mn 6.0194 3.4753 5.9669
Mn 4.7835 2.7617 3.9514
Mn 4.7835 2.7617 0.0843
```

Output
- energy of formation (meV/atom) = -22
- symmetry = No. 166
- crystal system = trigonal
- M_tot (μB/f.u.) = 1.379

The following is a DFT calculation (PBE) of a relaxed structure of Pm4PrHo3.

Geometry as extended XYZ:
```
8
Lattice="5.6522 0.0000 -1.1266 -0.0638 3.6008 -0.3200 -0.2838 1.1967 13.3179" Properties=species:S:1:pos:R:3 pbc="T T T"
Pm 1.3677 2.4514 6.8615
Pm 1.9735 2.7474 9.9011
Pm 3.9370 2.3462 5.0098
Pm 3.3311 2.0502 1.9702
Ho -0.0319 1.8004 -0.1600
Ho 0.7732 0.3659 3.8789
Ho 4.5315 4.4317 7.9924
Pr 2.8261 0.0000 -0.5633
```

Output
- energy of formation (meV/atom) = 215
- symmetry = No. 12
- crystal system = monoclinic
- ΔE to the lowest computed polymorph (meV per atom) = 188
- M_tot (μB/f.u.) = 0.000

The following is a DFT calculation (PBE) of a relaxed structure of ZnCd2Ge.

Geometry as extended XYZ:
```
4
Lattice="3.1496 0.0000 0.0000 0.0000 3.1496 0.0000 0.0000 0.0000 8.1015" Properties=species:S:1:pos:R:3 pbc="T T T"
Ge 1.5748 1.5748 4.0508
Zn 1.5748 1.5748 0.0000
Cd 0.0000 0.0000 1.9017
Cd 0.0000 0.0000 6.1998
```

Output
- energy of formation (meV/atom) = 161
- symmetry = No. 123
- crystal system = tetragonal
- ΔE to the lowest computed polymorph (meV per atom) = 9
- M_tot (μB/f.u.) = 0.000

The following is a DFT calculation (PBE) of a relaxed structure of Tb6Nd3Er2Pb.

Geometry as extended XYZ:
```
12
Lattice="6.1823 -0.0015 0.0214 -3.0909 5.3541 0.0214 -1.0794 -1.8689 11.4974" Properties=species:S:1:pos:R:3 pbc="T T T"
Er 0.0094 3.5635 0.0214
Er 3.0819 1.7891 0.0214
Tb 0.0010 3.5079 8.7341
Tb 2.0631 3.5723 2.8499
Tb -1.0259 1.7297 2.8061
Tb 2.0109 -0.0242 2.8061
Tb 3.0379 1.7540 8.7341
Tb -0.0511 -0.0886 8.6904
Nd 4.0826 -0.0350 5.7701
Nd -2.0706 3.5187 5.7701
Nd 1.0060 1.7418 5.7701
Pb 0.0000 0.0000 0.0000
```

Output
- energy of formation (meV/atom) = -44
- symmetry = No. 12
- crystal system = monoclinic
- M_tot (μB/f.u.) = 0.007

The following is a DFT calculation (PBE) of a relaxed structure of Ca3PuAl8.

Geometry as extended XYZ:
```
12
Lattice="5.6297 0.0000 0.0000 2.8148 4.8754 0.0000 2.8148 1.6251 9.2170" Properties=species:S:1:pos:R:3 pbc="T T T"
Al 8.4445 3.2635 6.3147
Al 7.0358 2.4385 1.7547
Al 4.2236 2.4385 1.7547
Al 5.6297 4.8739 1.7547
Al 7.0486 5.6814 6.3147
Al 8.4445 4.8754 8.6414
Al 9.8405 5.6814 6.3147
Al 2.8148 1.6252 4.0167
Ca 5.6297 3.2503 8.0683
Ca 5.6297 3.2503 4.5882
Ca 8.4445 4.8754 0.0199
Pu 8.4445 4.8754 3.4549
```

Output
- energy of formation (meV/atom) = -308
- symmetry = No. 160
- crystal system = trigonal
- M_tot (μB/f.u.) = 5.701

The following is a DFT calculation (PBE) of a relaxed structure of KLiIr.

Geometry as extended XYZ:
```
3
Lattice="-0.5817 2.5621 4.4129 1.0841 -5.0196 0.0687 2.5501 0.5510 0.0163" Properties=species:S:1:pos:R:3 pbc="T T T"
Ir 0.0039 0.0008 0.0000
Li 1.7917 -2.2195 1.5248
K 1.2568 0.3121 2.9730
```

Output
- energy of formation (meV/atom) = 475
- symmetry = No. 156
- crystal system = trigonal
- ΔE to the lowest computed polymorph (meV per atom) = 144
- M_tot (μB/f.u.) = 0.000

Q: The lowest energy of formation belongs to which entry?
A: Ca3PuAl8

Q: Which value of M_tot does entry 4 give?
A: 0.007 μB/f.u.

Q: The highest M_tot belongs to which entry?
A: Ca3PuAl8